No. 1
6
Lattice="-6.316 0.298 0.527 -0.608 -5.377 -3.392 -3.029 -5.475 3.629" Properties=species:S:1:pos:R:3 comment="GaAuI2Br2 (GGA-PBE, relaxed)" dft_energy_ev_per_cell=-15.42 pbc="T T T"
Br -1.939 -1.795 0.735
Br -5.077 -8.595 -0.049
Ga -3.689 -6.772 -0.638
I -5.086 -4.561 -0.727
I -8.142 -6.087 1.698
Au -8.867 -5.172 4.070

No. 2
4
Lattice="1.694 -3.929 1.444 2.476 -0.140 3.774 -1.663 -1.945 3.720" Properties=species:S:1:pos:R:3 comment="HfNiAgGe (GGA-PBE, relaxed)" magnetic_moment_mub_per_cell=0.0 dft_energy_ev_per_cell=-23.36 pbc="T T T"
Ag 1.253 -3.007 4.469
Ni 1.880 -4.510 6.704
Hf 0.627 -1.503 2.235
Ge 0.000 0.000 0.000

No. 3
9
Lattice="8.486 0.000 0.000 -4.243 7.349 0.000 0.000 0.000 3.888" Properties=species:S:1:pos:R:3 comment="Sm3Ho3CoTe2 (GGA-PBE, relaxed)" magnetic_moment_mub_per_cell=0.2 dft_energy_ev_per_cell=-46.87 e_above_lowest_polymorph_mev_per_atom=80 pbc="T T T"
Ho -1.710 2.962 0.000
Ho 2.533 4.387 0.000
Ho 3.421 0.000 0.000
Co 0.000 0.000 0.000
Sm 6.456 0.000 1.944
Sm 1.015 1.758 1.944
Sm -3.228 5.591 1.944
Te 0.000 4.899 1.944
Te 4.243 2.450 1.944

No. 4
14
Lattice="-0.825 -7.154 -2.992 4.545 -2.884 5.643 -3.269 -0.597 2.328" Properties=species:S:1:pos:R:3 comment="PuAs2Pd4 (GGA-PBE, relaxed)" magnetic_moment_mub_per_cell=0.4 dft_energy_ev_per_cell=-92.83 pbc="T T T"
Pd -0.833 -7.786 0.371
Pd 0.383 -3.384 -0.329
Pd -1.764 -5.272 -0.293
Pd 1.728 -2.314 1.833
Pd 1.992 -7.724 0.817
Pd 3.336 -6.654 2.979
Pd 1.284 -2.849 4.608
Pd 2.215 -5.362 5.272
As -0.827 -2.478 1.740
As 1.278 -8.156 3.239
As 0.694 -5.946 -0.550
As 3.026 -4.092 3.200
Pu 0.226 -5.317 2.489
Pu 0.000 0.000 0.000

No. 5
4
Lattice="1.165 2.349 3.194 -2.662 0.797 3.058 0.559 -1.704 3.723" Properties=species:S:1:pos:R:3 comment="CoCu2W (GGA-PBE, relaxed)" magnetic_moment_mub_per_cell=0.9 formation_energy_ev_per_atom=0.305 dft_energy_ev_per_cell=-26.28 pbc="T T T"
W -0.469 0.721 4.987
Cu 0.000 0.000 0.000
Cu -0.703 1.081 7.481
Co -0.234 0.360 2.494

No. 6
12
Lattice="-7.898 -1.929 -3.651 7.462 -1.812 4.523 -5.075 2.803 9.497" Properties=species:S:1:pos:R:3 comment="RbSnTeAuS2 (GGA-PBE, relaxed)" dft_energy_ev_per_cell=-44.40 pbc="T T T"
Sn -0.218 -1.871 0.436
Sn -2.755 -0.469 5.184
S -8.596 -0.632 1.570
S 3.086 -0.307 8.799
S -6.480 -1.800 -2.390
S 0.970 0.862 12.759
Rb 2.532 -1.139 4.948
Rb -8.042 0.201 5.420
Au -7.608 -1.216 -0.447
Au 2.097 0.278 10.816
Te -2.437 -1.177 2.304
Te -3.074 0.239 8.064

What is the formula in the first record?
GaAuI2Br2

Repeat the second record exactly.
4
Lattice="1.694 -3.929 1.444 2.476 -0.140 3.774 -1.663 -1.945 3.720" Properties=species:S:1:pos:R:3 comment="HfNiAgGe (GGA-PBE, relaxed)" magnetic_moment_mub_per_cell=0.0 dft_energy_ev_per_cell=-23.36 pbc="T T T"
Ag 1.253 -3.007 4.469
Ni 1.880 -4.510 6.704
Hf 0.627 -1.503 2.235
Ge 0.000 0.000 0.000